*1*
B5C7, relaxed, DFT PBE-GGA; space-group type = Pm; Fermi-level density of states = 0.1980 states/eV per atom; mass density = 2.87 Mg/m³; M_tot = 0.0 μB per formula unit
1.0
3.814 0.000 0.000
0.000 2.577 0.000
-0.273 0.000 8.127
B C
5 7
Cartesian
0.000 0.000 0.000
-0.065 0.000 3.154
1.072 0.000 1.960
1.896 1.288 7.015
2.184 1.288 1.624
-0.056 0.000 5.691
0.798 0.000 6.974
0.959 0.000 4.453
1.865 1.288 4.452
2.737 1.288 3.182
2.844 1.288 5.670
3.037 1.288 0.317



*2*
B5C7, relaxed, DFT PBE-GGA; space-group type = Cm; Fermi-level density of states = 0.0486 states/eV per atom; mass density = 2.79 Mg/m³; M_tot = 0.0 μB per formula unit
1.0
4.401 -1.321 0.000
4.401 1.321 0.000
-4.173 0.000 7.081
B C
5 7
Cartesian
0.000 0.000 0.000
-1.371 0.000 2.552
2.742 0.000 0.054
0.008 0.000 5.891
4.858 0.000 2.250
0.177 0.000 1.511
-1.625 0.000 5.579
0.847 0.000 4.534
3.192 0.000 3.424
2.407 0.000 4.815
4.854 0.000 3.792
7.349 0.000 0.924



How far above the most stable structure does each one sit? In meV/atom: *1* 73; *2* 0.



*1*
WBr2Cl, relaxed, DFT PBE-GGA; space-group type = Pmmm; Fermi-level density of states = 0.5922 states/eV per atom; mass density = 6.12 Mg/m³; M_tot = 3.8 μB per formula unit
1.0
3.209 0.000 0.000
0.000 4.574 0.000
0.000 0.000 7.008
W Br Cl
1 2 1
Cartesian
0.000 0.000 0.000
0.000 2.287 3.504
1.605 0.000 3.504
1.605 2.287 0.000



*2*
WBr2Cl, relaxed, DFT PBE-GGA; space-group type = R-3m; Fermi-level density of states = 1.3146 states/eV per atom; mass density = 6.71 Mg/m³; M_tot = 0.0 μB per formula unit
1.0
3.262 0.000 0.000
-1.631 2.825 0.000
0.000 0.000 30.527
W Br Cl
3 6 3
Cartesian
0.000 0.000 0.000
0.000 1.884 20.351
1.631 0.942 10.176
0.000 0.000 12.016
0.000 0.000 18.510
0.000 1.884 1.841
0.000 1.884 8.335
1.631 0.942 22.192
1.631 0.942 28.686
0.000 0.000 15.263
0.000 1.884 5.088
1.631 0.942 25.439



How far above the most stable structure does each one sit? In meV/atom: *1* 910; *2* 0.